No. 1
A relaxed KRe2Ru crystal, computed with PBE.

POSCAR file:
```
KRe2Ru
1.0
-1.0834 -2.4852 -0.1031
2.3029 0.1923 1.4214
-5.5360 2.0527 8.6913
K Ru Re
1 1 2
direct
0.5000 0.5000 0.7500
0.5000 0.5000 0.2500
0.0000 0.0000 0.0393
0.0000 0.0000 0.4607
```

Properties
As for the crystal system: orthorhombic. The calculation puts the magnetic moment at 0.00 Bohr magnetons per cell. As for the space group: No. 65. The formation energy comes out at 0.912 eV per atom. The calculation puts the density of states at the Fermi level at 1.212 states/eV/atom.

=====

No. 2
A relaxed Cu4SbTe crystal, computed with PBE.

POSCAR file:
```
Cu4SbTe
1.0
0.0000 3.6828 3.6828
3.6828 0.0000 3.6828
3.6828 3.6828 0.0000
Sb Cu Te
1 4 1
direct
0.7500 0.7500 0.7500
0.3753 0.8740 0.3753
0.8740 0.3753 0.3753
0.3753 0.3753 0.8740
0.3753 0.3753 0.3753
0.0000 0.0000 0.0000
```

Properties
As for the crystal system: cubic. The calculation puts the magnetic moment at 0.00 Bohr magnetons per cell. As for the space group: No. 216. For the uncorrected formation energy, the calculation gives 0.197 eV per atom. The calculation puts the density of states at the Fermi level at 0.398 states/eV/atom.

=====

No. 3
A relaxed PuPaPd crystal, computed with PBE.

POSCAR file:
```
PuPaPd
1.0
2.9377 0.0000 0.0000
0.0000 4.9039 0.0000
0.0000 -2.4519 4.2469
Pd Pa Pu
1 1 1
direct
0.9999 0.0000 0.0000
0.4999 0.6667 0.3333
0.5002 0.3333 0.6667
```

Properties
As for the crystal system: hexagonal. The calculation puts the magnetic moment at 5.25 Bohr magnetons per cell. As for the space group: No. 187. The formation energy comes out at -0.134 eV per atom. The calculation puts the density of states at the Fermi level at 2.286 states/eV/atom.

=====

No. 4
A relaxed Na5Sn5Au2 crystal, computed with PBE.

POSCAR file:
```
Na5Sn5Au2
1.0
-1.8771 4.5867 -0.3276
-0.8075 2.9175 7.8219
6.3911 5.3885 1.1718
Sn Na Au
5 5 2
direct
0.0384 0.2621 0.6611
0.9616 0.7379 0.3389
0.7549 0.2497 0.2405
0.2451 0.7503 0.7595
0.0000 0.0000 0.0000
0.6316 0.6682 0.0686
0.6679 0.0068 0.6574
0.3684 0.3318 0.9314
0.5000 0.5000 0.5000
0.3321 0.9932 0.3426
0.1548 0.3998 0.2907
0.8452 0.6002 0.7093
```

Properties
As for the crystal system: monoclinic. The calculation puts the magnetic moment at 0.00 Bohr magnetons per cell. As for the space group: No. 12. The formation energy comes out at -0.199 eV per atom. The calculation puts the density of states at the Fermi level at 0.489 states/eV/atom.

=====

No. 5
A relaxed Pr2ThHg3 crystal, computed with PBE.

POSCAR file:
```
Pr2ThHg3
1.0
3.8406 0.0000 0.0000
0.0000 3.8406 0.0000
0.0000 0.0000 11.6160
Th Hg Pr
1 3 2
direct
0.5000 0.5000 0.5000
0.0000 0.0000 0.3342
0.0000 0.0000 0.0000
0.0000 0.0000 0.6658
0.5000 0.5000 0.1677
0.5000 0.5000 0.8323
```

Properties
As for the crystal system: tetragonal. The calculation puts the magnetic moment at 0.92 Bohr magnetons per cell. As for the space group: No. 123. The formation energy comes out at -0.373 eV per atom. The calculation puts the density of states at the Fermi level at 1.299 states/eV/atom.

=====

No. 6
A relaxed SrCaHf4O12 crystal, computed with PBE.

POSCAR file:
```
SrCaHf4O12
1.0
4.0412 -4.0853 0.0000
4.0412 4.0853 0.0000
0.0000 0.0000 8.2436
O Ca Hf Sr
12 1 4 1
direct
0.7928 0.2093 0.2699
0.6915 0.6915 0.1970
0.2093 0.7928 0.7301
0.4927 0.0599 0.0000
0.2093 0.7928 0.2699
0.5246 0.9834 0.5000
0.9834 0.5246 0.5000
0.0599 0.4927 0.0000
0.7928 0.2093 0.7301
0.6915 0.6915 0.8030
0.2782 0.2782 0.2573
0.2782 0.2782 0.7427
0.4679 0.4679 0.0000
0.9870 0.5129 0.2439
0.5129 0.9870 0.2439
0.5129 0.9870 0.7561
0.9870 0.5129 0.7561
0.0397 0.0397 0.5000
```

Properties
As for the crystal system: orthorhombic. The calculation puts the magnetic moment at 4.04 Bohr magnetons per cell. As for the space group: No. 38. For the uncorrected formation energy, the calculation gives -2.797 eV per atom. The calculation puts the density of states at the Fermi level at 0.490 states/eV/atom.

=====

No. 7
A relaxed TbScPa crystal, computed with PBE.

POSCAR file:
```
TbScPa
1.0
-1.0581 0.0531 -4.9273
3.4887 -1.4350 -3.3422
-1.9227 -8.2758 -2.2538
Tb Pa Sc
2 2 2
direct
0.2912 0.2912 0.1264
0.7088 0.7088 0.8736
0.1601 0.1601 0.5197
0.8399 0.8399 0.4803
0.5605 0.5605 0.3184
0.4395 0.4395 0.6816
```

Properties
As for the crystal system: trigonal. The calculation puts the magnetic moment at 0.00 Bohr magnetons per cell. As for the space group: No. 166. The formation energy comes out at 0.425 eV per atom. The calculation puts the density of states at the Fermi level at 2.303 states/eV/atom.

=====

No. 8
A relaxed PaCdSe2O8 crystal, computed with PBE.

POSCAR file:
```
PaCdSe2O8
1.0
6.1021 0.1767 0.0000
-2.5481 5.5474 0.0000
-1.7770 -2.8621 5.0909
O Se Pa Cd
8 2 1 1
direct
0.4938 0.6910 0.8028
0.7405 0.0619 0.6786
0.9381 0.2595 0.3214
0.8882 0.6910 0.1972
0.3090 0.1118 0.8028
0.3090 0.5062 0.1972
0.3834 0.0619 0.3214
0.9381 0.6166 0.6786
0.5000 0.5000 0.0000
0.7500 0.2500 0.5000
0.2500 0.7500 0.5000
0.0000 0.0000 0.0000
```

Properties
As for the crystal system: tetragonal. The calculation puts the magnetic moment at 0.33 Bohr magnetons per cell. As for the space group: No. 119. For the uncorrected formation energy, the calculation gives -1.368 eV per atom. The calculation puts the density of states at the Fermi level at 0.370 states/eV/atom.

=====

Computed calculated volume (Å³/atom) in order:
17.5; 16.7; 20.4; 26.2; 28.6; 15.1; 30.4; 14.6